(1)
{"formula": "ScZnHg2", "functional": "GGA-PBEsol", "state": "relaxed", "ef_kcal_per_mol_atoms": -4.772, "lattice_angstrom": [[-3.425, -0.040, 0.681], [-0.536, -2.000, -2.812], [0.778, -5.280, 3.607]], "species": ["Hg", "Hg", "Sc", "Zn"], "fractional_positions": [[0.000, 0.000, 0.975], [0.500, 0.500, 0.263], [0.000, 0.000, 0.509], [0.500, 0.500, 0.753]]}

(2)
{"formula": "ScZnHg2", "functional": "GGA-PBEsol", "state": "relaxed", "ef_kcal_per_mol_atoms": -5.987, "lattice_angstrom": [[4.758, 0.000, 0.000], [-2.379, 4.094, 0.085], [0.000, 2.683, 3.929]], "species": ["Sc", "Zn", "Hg", "Hg"], "fractional_positions": [[0.500, 0.000, 0.500], [0.750, 0.500, 0.750], [0.000, 0.000, 0.000], [0.250, 0.500, 0.250]]}

(3)
{"formula": "Sc2Zn2Hg", "functional": "GGA-PBEsol", "state": "relaxed", "ef_kcal_per_mol_atoms": -2.682, "lattice_angstrom": [[-1.636, 0.288, -3.015], [2.991, -0.387, -1.660], [-1.846, -8.291, 2.176]], "species": ["Sc", "Sc", "Zn", "Zn", "Hg"], "fractional_positions": [[0.395, 0.395, 0.790], [0.605, 0.605, 0.210], [0.250, 0.750, 0.500], [0.750, 0.250, 0.500], [0.000, 0.000, 0.000]]}

(4)
{"formula": "ScZnHg2", "functional": "GGA-PBEsol", "state": "relaxed", "ef_kcal_per_mol_atoms": -5.633, "lattice_angstrom": [[-2.306, -0.219, 2.054], [-1.941, -3.371, -2.539], [2.904, -3.787, 2.808]], "species": ["Sc", "Zn", "Hg", "Hg"], "fractional_positions": [[0.500, 0.000, 0.499], [0.002, 0.500, 0.749], [0.001, 0.000, 0.977], [0.997, 0.500, 0.276]]}

(5)
{"formula": "Sc2ZnHg", "functional": "GGA-PBEsol", "state": "relaxed", "ef_kcal_per_mol_atoms": -10.367, "lattice_angstrom": [[4.794, 0.000, 0.000], [2.397, 4.152, 0.000], [2.397, 1.384, 3.914]], "species": ["Sc", "Sc", "Zn", "Hg"], "fractional_positions": [[0.750, 0.750, 0.750], [0.250, 0.250, 0.250], [0.000, 0.000, 0.000], [0.500, 0.500, 0.500]]}

(6)
{"formula": "ScZnHg2", "functional": "GGA-PBEsol", "state": "relaxed", "ef_kcal_per_mol_atoms": -6.968, "lattice_angstrom": [[4.039, 0.000, 0.000], [0.000, 4.366, 0.000], [0.000, 0.000, 4.366]], "species": ["Sc", "Zn", "Hg", "Hg"], "fractional_positions": [[0.500, 0.500, 0.500], [0.500, 0.000, 0.000], [0.000, 0.000, 0.500], [0.000, 0.500, 0.000]]}

(7)
{"formula": "Zr2ScHg", "functional": "GGA-PBEsol", "state": "relaxed", "ef_kcal_per_mol_atoms": -4.226, "lattice_angstrom": [[3.214, 0.000, 0.000], [0.000, 5.388, -0.018], [-1.607, -2.295, 4.956]], "species": ["Sc", "Hg", "Zr", "Zr"], "fractional_positions": [[0.765, 0.332, 0.530], [0.503, 0.417, 0.005], [0.996, 0.940, 0.992], [0.236, 0.811, 0.472]]}

(8)
{"formula": "Zr2ScHg", "functional": "GGA-PBEsol", "state": "relaxed", "ef_kcal_per_mol_atoms": -5.204, "lattice_angstrom": [[3.184, 0.000, 0.000], [0.000, 3.184, 0.000], [0.000, 0.000, 8.477]], "species": ["Sc", "Hg", "Zr", "Zr"], "fractional_positions": [[0.500, 0.500, 0.740], [0.000, 0.000, 0.506], [0.000, 0.000, 0.997], [0.500, 0.500, 0.257]]}

(9)
{"formula": "Zr2ScHg", "functional": "GGA-PBEsol", "state": "relaxed", "ef_kcal_per_mol_atoms": -4.256, "lattice_angstrom": [[-1.693, 2.728, -0.280], [-2.061, -0.925, 3.454], [4.418, 3.097, 3.466]], "species": ["Sc", "Hg", "Zr", "Zr"], "fractional_positions": [[0.000, 0.500, 0.742], [0.500, 0.000, 0.507], [0.500, 0.000, 0.007], [0.000, 0.500, 0.244]]}

(10)
{"formula": "Zr2ScHg", "functional": "GGA-PBEsol", "state": "relaxed", "ef_kcal_per_mol_atoms": -4.796, "lattice_angstrom": [[4.314, 0.000, 0.000], [0.000, 4.314, 0.000], [0.000, 0.000, 4.501]], "species": ["Sc", "Hg", "Zr", "Zr"], "fractional_positions": [[0.000, 0.000, 0.500], [0.500, 0.500, 0.500], [0.000, 0.500, 0.000], [0.500, 0.000, 0.000]]}

(11)
{"formula": "Zr2ScHg", "functional": "GGA-PBEsol", "state": "relaxed", "ef_kcal_per_mol_atoms": -5.063, "lattice_angstrom": [[-2.921, -3.059, -0.117], [0.308, -0.454, 4.196], [-2.055, 4.944, -1.447]], "species": ["Sc", "Hg", "Zr", "Zr"], "fractional_positions": [[0.000, 0.000, 0.000], [0.500, 0.500, 0.000], [0.750, 0.250, 0.500], [0.250, 0.750, 0.500]]}

(12)
{"formula": "HgSe3", "functional": "GGA-PBEsol", "state": "relaxed", "formation_energy_uncorrected_ev_per_atom": 0.144, "lattice_angstrom": [[-3.173, 1.735, -0.895], [0.588, -0.779, -3.595], [-3.702, -6.371, 0.776]], "species": ["Hg", "Se", "Se", "Se"], "fractional_positions": [[0.000, 0.000, 0.946], [0.500, 0.000, 0.407], [0.500, 0.500, 0.898], [0.000, 0.500, 0.407]]}

no.,total magnetization (μB/atom),calculated total energy (eV/atom)
1,0.05,-2.537
2,0.00,-2.590
3,0.00,-3.504
4,0.00,-2.574
5,0.00,-4.289
6,0.00,-2.632
7,0.00,-6.521
8,0.00,-6.564
9,0.00,-6.522
10,0.00,-6.546
11,0.00,-6.557
12,0.00,-2.885